{
  "formula": "LaPr4Ga5",
  "functional": "PBE",
  "state": "relaxed",
  "space_group": "P4/mmm (123)",
  "mass_density_g_cm3": 6.7,
  "ef_mev_per_atom": -549,
  "m_tot_mub_per_fu": 0.00,
  "lattice_angstrom": [[-0.0474, -2.2983, -2.9413], [-0.2395, -2.9336, 2.2962], [-18.6640, 1.0915, -0.5522]],
  "species": ["Pr", "Pr", "Pr", "Pr", "Ga", "Ga", "Ga", "Ga", "Ga", "La"],
  "fractional_positions": [[0.0000, 0.0000, 0.5996], [0.0000, 0.0000, 0.4004], [0.0000, 0.0000, 0.7986], [0.0000, 0.0000, 0.2014], [0.5000, 0.5000, 0.6991], [0.5000, 0.5000, 0.3009], [0.5000, 0.5000, 0.1030], [0.5000, 0.5000, 0.5000], [0.5000, 0.5000, 0.8970], [0.0000, 0.0000, 0.0000]]
}


{
  "formula": "La5PrGa4",
  "functional": "PBE",
  "state": "relaxed",
  "space_group": "P4/mmm (123)",
  "mass_density_g_cm3": 6.4,
  "ef_mev_per_atom": -443,
  "m_tot_mub_per_fu": 0.00,
  "lattice_angstrom": [[3.7654, 0.0000, 0.0000], [0.0000, 3.7654, 0.0000], [0.0000, 0.0000, 20.3531]],
  "species": ["Pr", "La", "La", "La", "La", "La", "Ga", "Ga", "Ga", "Ga"],
  "fractional_positions": [[0.0000, 0.0000, 0.0000], [0.5000, 0.5000, 0.5000], [0.5000, 0.5000, 0.6862], [0.5000, 0.5000, 0.3138], [0.5000, 0.5000, 0.1313], [0.5000, 0.5000, 0.8687], [0.0000, 0.0000, 0.2189], [0.0000, 0.0000, 0.5932], [0.0000, 0.0000, 0.4068], [0.0000, 0.0000, 0.7811]]
}


{
  "formula": "La8Pr2Ga",
  "functional": "PBE",
  "state": "relaxed",
  "space_group": "C2/m (12)",
  "mass_density_g_cm3": 6.3,
  "ef_mev_per_atom": -69,
  "m_tot_mub_per_fu": 0.00,
  "lattice_angstrom": [[5.6243, 0.0000, -1.6146], [-0.1168, 6.5966, -0.4069], [-0.0487, -0.0993, 10.4340]],
  "species": ["Pr", "Pr", "La", "La", "La", "La", "La", "La", "La", "La", "Ga"],
  "fractional_positions": [[0.7648, 0.6705, 0.5296], [0.2352, 0.3295, 0.4704], [0.3440, 0.8758, 0.6880], [0.5794, 0.6102, 0.1588], [0.4206, 0.3898, 0.8412], [0.0377, 0.2471, 0.0753], [0.1548, 0.7923, 0.3095], [0.6560, 0.1242, 0.3120], [0.9623, 0.7529, 0.9247], [0.8452, 0.2077, 0.6905], [0.5000, 0.0000, 0.0000]]
}


{
  "formula": "La2PrGa6",
  "functional": "PBE",
  "state": "relaxed",
  "space_group": "Immm (71)",
  "mass_density_g_cm3": 6.1,
  "ef_mev_per_atom": -452,
  "m_tot_mub_per_fu": 0.00,
  "lattice_angstrom": [[-3.0096, 2.5809, -2.1515], [-0.4485, -2.9008, -7.5809], [-5.6573, -5.0691, -2.8959]],
  "species": ["Ga", "Ga", "Ga", "Ga", "Ga", "Ga", "Pr", "La", "La"],
  "fractional_positions": [[0.1709, 0.5132, 0.1450], [0.0000, 0.8174, 0.1826], [0.1709, 0.1450, 0.5132], [0.0000, 0.1826, 0.8174], [0.8291, 0.4868, 0.8550], [0.8291, 0.8550, 0.4868], [0.5000, 0.5000, 0.5000], [0.6357, 0.8643, 0.8643], [0.3643, 0.1357, 0.1357]]
}


{
  "formula": "LaPrGa4",
  "functional": "PBE",
  "state": "relaxed",
  "space_group": "I-4m2 (119)",
  "mass_density_g_cm3": 6.6,
  "ef_mev_per_atom": -688,
  "m_tot_mub_per_fu": 0.00,
  "lattice_angstrom": [[4.1466, 0.0000, -1.2804], [-0.3954, 4.1278, -1.2804], [0.2330, 0.2564, 8.1092]],
  "species": ["Pr", "La", "Ga", "Ga", "Ga", "Ga"],
  "fractional_positions": [[0.0000, 0.0000, 0.0000], [0.2500, 0.7500, 0.5000], [0.4173, 0.4173, 0.8346], [0.5827, 0.5827, 0.1654], [0.6662, 0.1662, 0.3325], [0.8338, 0.3338, 0.6675]]
}


{
  "formula": "La2Pr8Ga",
  "functional": "PBE",
  "state": "relaxed",
  "space_group": "C2/m (12)",
  "mass_density_g_cm3": 6.4,
  "ef_mev_per_atom": -7,
  "m_tot_mub_per_fu": 0.00,
  "lattice_angstrom": [[-3.2526, -2.5239, -3.8919], [5.4763, 1.3071, -5.4245], [3.0938, -6.8208, 5.9611]],
  "species": ["Pr", "Pr", "Pr", "Pr", "Pr", "Pr", "Pr", "Pr", "La", "La", "Ga"],
  "fractional_positions": [[0.5979, 0.4164, 0.1957], [0.6573, 0.9306, 0.3146], [0.4021, 0.5836, 0.8043], [0.8175, 0.7689, 0.6350], [0.9844, 0.2215, 0.9688], [0.0156, 0.7785, 0.0312], [0.1825, 0.2311, 0.3650], [0.3427, 0.0694, 0.6854], [0.1848, 0.6626, 0.3697], [0.8152, 0.3374, 0.6303], [0.5000, 0.0000, 0.0000]]
}


{
  "formula": "LaPr2Ga2",
  "functional": "PBE",
  "state": "relaxed",
  "space_group": "C2/m (12)",
  "mass_density_g_cm3": 6.3,
  "ef_mev_per_atom": -362,
  "m_tot_mub_per_fu": 0.00,
  "lattice_angstrom": [[-3.0907, -2.1996, -0.7304], [3.4210, -5.0543, 0.7450], [-0.5648, 2.1020, 6.2766]],
  "species": ["Ga", "Ga", "La", "Pr", "Pr"],
  "fractional_positions": [[0.7081, 0.1041, 0.4162], [0.2919, 0.8959, 0.5838], [0.0000, 0.0000, 0.0000], [0.3635, 0.4331, 0.7269], [0.6365, 0.5669, 0.2731]]
}


{
  "formula": "La4Pr5Ga4",
  "functional": "PBE",
  "state": "relaxed",
  "space_group": "I4/m (87)",
  "mass_density_g_cm3": 6.5,
  "ef_mev_per_atom": -373,
  "m_tot_mub_per_fu": 0.00,
  "lattice_angstrom": [[5.0998, 0.0000, 1.2966], [2.5499, 8.6570, 0.6483], [0.4167, 0.0000, 9.0383]],
  "species": ["Ga", "Ga", "Ga", "Ga", "La", "La", "La", "La", "Pr", "Pr", "Pr", "Pr", "Pr"],
  "fractional_positions": [[0.7708, 0.3432, 0.1152], [0.1140, 0.1152, 0.6568], [0.8860, 0.8848, 0.3432], [0.2292, 0.6568, 0.8848], [0.9020, 0.4663, 0.7297], [0.3683, 0.7297, 0.5337], [0.6317, 0.2703, 0.4663], [0.0980, 0.5337, 0.2703], [0.0000, 0.0000, 0.0000], [0.6114, 0.7031, 0.0742], [0.3144, 0.0742, 0.2969], [0.6856, 0.9258, 0.7031], [0.3886, 0.2969, 0.9258]]
}


{
  "formula": "La3Pr2Ga3",
  "functional": "PBE",
  "state": "relaxed",
  "space_group": "P6_3/mcm (193)",
  "mass_density_g_cm3": 6.2,
  "ef_mev_per_atom": -413,
  "m_tot_mub_per_fu": 0.00,
  "lattice_angstrom": [[7.0024, 0.0000, 0.0000], [0.0000, 8.9637, 0.0000], [0.0000, -4.4818, 7.7628]],
  "species": ["Pr", "Pr", "Pr", "Pr", "Ga", "Ga", "Ga", "Ga", "Ga", "Ga", "La", "La", "La", "La", "La", "La"],
  "fractional_positions": [[0.5000, 0.3333, 0.6667], [0.0000, 0.3333, 0.6667], [0.5000, 0.6667, 0.3333], [0.0000, 0.6667, 0.3333], [0.7500, 0.5964, 0.0000], [0.7500, 0.4036, 0.4036], [0.7500, 0.0000, 0.5964], [0.2500, 0.0000, 0.4036], [0.2500, 0.5964, 0.5964], [0.2500, 0.4036, 0.0000], [0.7500, 0.7578, 0.7578], [0.7500, 0.0000, 0.2422], [0.2500, 0.2422, 0.2422], [0.2500, 0.7578, 0.0000], [0.7500, 0.2422, 0.0000], [0.2500, 0.0000, 0.7578]]
}


{
  "formula": "LaPr5Ga4",
  "functional": "PBE",
  "state": "relaxed",
  "space_group": "Pmmn (59)",
  "mass_density_g_cm3": 6.1,
  "ef_mev_per_atom": -270,
  "m_tot_mub_per_fu": 0.00,
  "lattice_angstrom": [[-6.5844, 2.5437, -4.7002], [-3.8479, -6.8727, 1.6711], [-3.6503, 3.7852, 7.1621]],
  "species": ["Pr", "Pr", "Pr", "Pr", "Pr", "Pr", "Pr", "Pr", "Pr", "Pr", "Ga", "Ga", "Ga", "Ga", "Ga", "Ga", "Ga", "Ga", "La", "La"],
  "fractional_positions": [[0.2677, 0.7552, 0.8015], [0.7323, 0.7448, 0.6985], [0.7323, 0.7448, 0.3015], [0.2677, 0.2448, 0.8015], [0.7323, 0.2552, 0.3015], [0.0771, 0.0000, 0.5000], [0.9229, 0.5000, 0.0000], [0.7323, 0.2552, 0.6985], [0.2677, 0.2448, 0.1985], [0.2677, 0.7552, 0.1985], [0.9841, 0.0000, 0.8507], [0.5584, 0.6514, 0.0000], [0.0159, 0.5000, 0.3507], [0.5584, 0.3486, 0.0000], [0.4416, 0.1514, 0.5000], [0.0159, 0.5000, 0.6493], [0.9841, 0.0000, 0.1493], [0.4416, 0.8486, 0.5000], [0.6411, 0.0000, 0.0000], [0.3589, 0.5000, 0.5000]]
}


{
  "formula": "LaPrGa",
  "functional": "PBE",
  "state": "relaxed",
  "space_group": "P3m1 (156)",
  "mass_density_g_cm3": 6.8,
  "ef_mev_per_atom": -301,
  "m_tot_mub_per_fu": 0.00,
  "lattice_angstrom": [[3.9186, 0.0000, 0.0000], [0.0000, 5.0290, 0.0000], [0.0000, -2.5145, 4.3552]],
  "species": ["Ga", "Pr", "La"],
  "fractional_positions": [[0.3156, 0.3333, 0.6667], [0.0382, 0.0000, 0.0000], [0.6461, 0.6667, 0.3333]]
}


{
  "formula": "LaPrGaRh",
  "functional": "PBE",
  "state": "relaxed",
  "space_group": "Amm2 (38)",
  "mass_density_g_cm3": 7.4,
  "ef_mev_per_atom": -666,
  "m_tot_mub_per_fu": 0.00,
  "lattice_angstrom": [[4.4085, 0.0000, 0.0000], [0.0000, 3.9242, 0.0000], [-2.2042, 0.0000, 5.8655]],
  "species": ["Pr", "Ga", "La", "Rh"],
  "fractional_positions": [[0.1491, 0.0000, 0.2983], [0.5673, 0.5000, 0.1346], [0.8678, 0.5000, 0.7356], [0.4158, 0.0000, 0.8315]]
}